# NbTc2Mo2

An optimized crystal structure of NbTc2Mo2 (PBE, Alexandria).

The formation energy is 3.11 eV per formula unit. The relative energy among the computed polymorphs comes out at 1.99 eV per formula unit. The theoretical density comes out at 8.855 g cm⁻³.

The space group is I4/mmm (No. 139) and the conventional cell measures 4.0938, 4.0938 and 10.7591 Å, with angles of 90.00, 90.00 and 90.00 degrees. The distinct sites, in fractional coordinates, are Nb at (0.0000, 0.0000, 0.0000), Tc at (0.0000, 0.5000, 0.2500) and Mo at (0.0000, 0.0000, 0.3841).

***

# Pr4Zn3Pd

An optimized crystal structure of Pr4Zn3Pd (PBE, Alexandria).

The formation energy is -3.25 eV per formula unit. The theoretical density comes out at 7.097 g cm⁻³.

The space group is P4/mmm (No. 123) and the conventional cell measures 3.7233, 3.7233 and 14.6198 Å, with angles of 90.00, 90.00 and 90.00 degrees. The distinct sites, in fractional coordinates, are Pr at (0.0000, 0.0000, 0.1199), Pr at (0.0000, 0.0000, 0.3740), Zn at (0.5000, 0.5000, 0.2498), Zn at (0.5000, 0.5000, 0.5000) and Pd at (0.5000, 0.5000, 0.0000).

***

# LaScCl2

An optimized crystal structure of LaScCl2 (PBE, Alexandria).

The calculation puts the energy relative to the elements, uncorrected at -5.5 eV/f.u. The relative energy among the computed polymorphs comes out at 0.00 eV per formula unit. The theoretical density comes out at 4.368 g cm⁻³.

The space group is P4mm (No. 99) and the conventional cell measures 3.6934, 3.6934 and 7.1001 Å, with angles of 90.00, 90.00 and 90.00 degrees. The distinct sites, in fractional coordinates, are La at (0.0000, 0.0000, 0.0000), Sc at (0.5000, 0.5000, 0.3486), Cl at (0.0000, 0.0000, 0.4246) and Cl at (0.5000, 0.5000, 0.7431).

***

# Ac2Ag2Au

An optimized crystal structure of Ac2Ag2Au (PBE, Alexandria).

The formation energy is -2.31 eV per formula unit. The theoretical density comes out at 9.830 g cm⁻³.

The space group is C2/m (No. 12) and the conventional cell measures 11.6510, 4.5599 and 12.2244 Å, with angles of 90.00, 115.61 and 90.00 degrees. The distinct sites, in fractional coordinates, are Ac at (0.0400, 0.0000, 0.3523), Ac at (0.1939, 0.0000, 0.1147), Ag at (0.0253, 0.5000, 0.8899), Ag at (0.1315, 0.5000, 0.5713) and Au at (0.2255, 0.5000, 0.3172).

***

# IrOsRhW

An optimized crystal structure of IrOsRhW (PBE, Alexandria).

The formation energy is -0.74 eV per formula unit. The theoretical density comes out at 18.947 g cm⁻³.

The space group is Pmmm (No. 47) and the conventional cell measures 3.8559, 3.8596 and 3.9409 Å, with angles of 90.00, 90.00 and 90.00 degrees. The distinct sites, in fractional coordinates, are Ir at (0.0000, 0.0000, 0.0000), Os at (0.0000, 0.5000, 0.5000), Rh at (0.5000, 0.5000, 0.0000) and W at (0.5000, 0.0000, 0.5000).

***

# NbVAs2Br

An optimized crystal structure of NbVAs2Br (PBE, Alexandria).

The calculation puts the energy relative to the elements, uncorrected at 3.1 eV/f.u. The relative energy among the computed polymorphs comes out at 0.19 eV per formula unit. The theoretical density comes out at 5.494 g cm⁻³.

The space group is P4/mmm (No. 123) and the conventional cell measures 4.7295, 4.7295 and 5.0479 Å, with angles of 90.00, 90.00 and 90.00 degrees. The distinct sites, in fractional coordinates, are Nb at (0.0000, 0.0000, 0.0000), V at (0.5000, 0.5000, 0.5000), As at (0.0000, 0.5000, 0.5000) and Br at (0.5000, 0.5000, 0.0000).